Entry 1:
Material: TaCoCu2
Method: DFT, GGA-PBE
State: relaxed

CIF file:
```
data_TaCoCu2
_chemical_formula_sum 'Ta1 Co1 Cu2'
_cell_length_a 2.745
_cell_length_b 3.404
_cell_length_c 5.644
_cell_angle_alpha 90.00
_cell_angle_beta 90.07
_cell_angle_gamma 90.00
_space_group_name_H-M_alt 'P 1 m 1'
_space_group_IT_number 6
loop_
_space_group_symop_operation_xyz
'x,y,z'
'x,-y,z'
loop_
_atom_site_label
_atom_site_type_symbol
_atom_site_fract_x
_atom_site_fract_y
_atom_site_fract_z
Ta1 Ta 0.000 0.000 0.000
Co1 Co 0.501 0.500 0.247
Cu1 Cu 0.000 0.000 0.489
Cu2 Cu 0.500 0.500 0.704
```

Values from the calculation:
For the energy relative to the lowest polymorph listed for this composition, the calculation gives 28 meV/atom. Its formation energy is 0.05 eV/atom. As for the total energy: -6.73 eV per atom. The magnetic moment is 0.03 μB per cell.

Entry 2:
Material: AlCuNi
Method: DFT, GGA-PBE
State: relaxed

CIF file:
```
data_AlCuNi
_chemical_formula_sum 'Al4 Cu4 Ni4'
_cell_length_a 4.529
_cell_length_b 4.706
_cell_length_c 7.564
_cell_angle_alpha 90.12
_cell_angle_beta 90.07
_cell_angle_gamma 115.12
_space_group_name_H-M_alt 'P -1'
_space_group_IT_number 2
loop_
_space_group_symop_operation_xyz
'x,y,z'
'-x,-y,-z'
loop_
_atom_site_label
_atom_site_type_symbol
_atom_site_fract_x
_atom_site_fract_y
_atom_site_fract_z
Al1 Al 0.246 0.246 0.147
Al2 Al 0.247 0.746 0.353
Cu1 Cu 0.251 0.249 0.487
Cu2 Cu 0.251 0.749 0.013
Ni1 Ni 0.253 0.255 0.818
Ni2 Ni 0.253 0.755 0.682
```

Values from the calculation:
For the energy relative to the lowest polymorph listed for this composition, the calculation gives 48 meV/atom. Its formation energy is -0.35 eV/atom. As for the total energy: -4.89 eV per atom. The magnetic moment is 0.00 μB per cell.

energy relative to the lowest polymorph listed for this composition of number 1 (TaCoCu2)?
28 meV/atom